# 1
# Tb8Te3C3N, relaxed, DFT GGA-PBE
# ΔE_f (raw) = -0.876 eV/atom
# Total magnetization = 0.09 μB/atom
# Final energy = -6.373 eV/atom
data_Tb8Te3C3N
_cell_length_a 7.5384
_cell_length_b 7.5384
_cell_length_c 21.2390
_cell_angle_alpha 90.00
_cell_angle_beta 90.00
_cell_angle_gamma 120.00
_space_group_name_H-M_alt 'R -3 m'
_space_group_IT_number 166
_space_group_name_Hall '-R 3 2"'
loop_
_atom_site_label
_atom_site_fract_x
_atom_site_fract_y
_atom_site_fract_z
Tb1 0.0000 0.0000 0.2292
Tb2 0.9998 0.4999 0.2284
Te1 0.0000 0.5000 0.0000
C1 0.0000 0.5000 0.5000
N1 0.0000 0.0000 0.5000



# 2
# Tb8Te4C3N, relaxed, DFT GGA-PBE
# ΔE_f (raw) = -1.003 eV/atom
# Total magnetization = 0.00 μB/atom
# Final energy = -6.353 eV/atom
data_Tb8Te4C3N
_cell_length_a 7.6756
_cell_length_b 7.6756
_cell_length_c 21.0329
_cell_angle_alpha 90.00
_cell_angle_beta 90.00
_cell_angle_gamma 120.00
_space_group_name_H-M_alt 'R -3 m'
_space_group_IT_number 166
_space_group_name_Hall '-R 3 2"'
loop_
_atom_site_label
_atom_site_fract_x
_atom_site_fract_y
_atom_site_fract_z
Tb1 0.0000 0.0000 0.2303
Tb2 0.0011 0.5006 0.7709
Te1 0.0000 0.0000 0.0000
Te2 0.0000 0.5000 0.0000
C1 0.0000 0.5000 0.5000
N1 0.0000 0.0000 0.5000



# 3
# Tb3TeCN, relaxed, DFT GGA-PBE
# ΔE_f (raw) = -1.048 eV/atom
# Total magnetization = 0.00 μB/atom
# Final energy = -6.812 eV/atom
data_Tb3TeCN
_cell_length_a 7.3757
_cell_length_b 3.8995
_cell_length_c 10.0353
_cell_angle_alpha 90.00
_cell_angle_beta 110.84
_cell_angle_gamma 90.00
_space_group_name_H-M_alt 'P 1 21/m 1'
_space_group_IT_number 11
loop_
_space_group_symop_operation_xyz
'x,y,z'
'-x,-y,-z'
'-x,y+1/2,-z'
'x,-y+1/2,z'
loop_
_atom_site_label
_atom_site_fract_x
_atom_site_fract_y
_atom_site_fract_z
Tb1 0.0252 0.2500 0.3690
Tb2 0.2972 0.2500 0.9375
Tb3 0.4244 0.7500 0.6755
Te1 0.1974 0.7500 0.1944
C1 0.1941 0.2500 0.6136
N1 0.4039 0.7500 0.8835



# 4
# Tb4Te2CN, relaxed, DFT GGA-PBE
# ΔE_f (raw) = -1.133 eV/atom
# Total magnetization = 0.00 μB/atom
# Final energy = -6.427 eV/atom
data_Tb4Te2CN
_cell_length_a 6.6087
_cell_length_b 3.8157
_cell_length_c 7.3289
_cell_angle_alpha 90.00
_cell_angle_beta 107.53
_cell_angle_gamma 90.00
_space_group_name_H-M_alt 'P 1 2/m 1'
_space_group_IT_number 10
loop_
_space_group_symop_operation_xyz
'x,y,z'
'-x,-y,-z'
'-x,y,-z'
'x,-y,z'
loop_
_atom_site_label
_atom_site_fract_x
_atom_site_fract_y
_atom_site_fract_z
Tb1 0.2292 0.0000 0.1859
Tb2 0.2713 0.5000 0.8110
Te1 0.0000 0.0000 0.5000
Te2 0.5000 0.5000 0.5000
C1 0.5000 0.0000 0.0000
N1 0.0000 0.5000 0.0000



# 5
# Tb2TlC2N6, relaxed, DFT GGA-PBE
# ΔE_f (raw) = -0.256 eV/atom
# Total magnetization = 0.08 μB/atom
# Final energy = -7.531 eV/atom
data_Tb2TlC2N6
_cell_length_a 10.4495
_cell_length_b 6.0888
_cell_length_c 6.1539
_cell_angle_alpha 90.00
_cell_angle_beta 115.25
_cell_angle_gamma 90.00
_space_group_name_H-M_alt 'C 1 2/m 1'
_space_group_IT_number 12
loop_
_space_group_symop_operation_xyz
'x,y,z'
'-x,-y,-z'
'-x,y,-z'
'x,-y,z'
'x+1/2,y+1/2,z'
'-x+1/2,-y+1/2,-z'
'-x+1/2,y+1/2,-z'
'x+1/2,-y+1/2,z'
loop_
_atom_site_label
_atom_site_fract_x
_atom_site_fract_y
_atom_site_fract_z
Tb1 0.1708 0.0000 0.2947
Tl1 0.0000 0.5000 0.0000
C1 0.1593 0.0000 0.7468
N1 0.0748 0.0000 0.8596
N2 0.2047 0.1846 0.6832



# 6
# Tc2CN, relaxed, DFT GGA-PBE
# ΔE_f (raw) = 0.840 eV/atom
# Total magnetization = 0.00 μB/atom
# Final energy = -8.730 eV/atom
data_Tc2CN
_cell_length_a 5.3589
_cell_length_b 5.3589
_cell_length_c 5.3589
_cell_angle_alpha 90.00
_cell_angle_beta 90.00
_cell_angle_gamma 90.00
_space_group_name_H-M_alt 'F m -3 m'
_space_group_IT_number 225
_space_group_name_Hall '-F 4 2 3'
loop_
_atom_site_label
_atom_site_fract_x
_atom_site_fract_y
_atom_site_fract_z
Tc1 0.2500 0.2500 0.2500
C1 0.0000 0.0000 0.0000
N1 0.0000 0.0000 0.5000



# 7
# TcCN3, relaxed, DFT GGA-PBE
# ΔE_f (raw) = 2.178 eV/atom
# Total magnetization = 0.17 μB/atom
# Final energy = -6.735 eV/atom
data_TcCN3
_cell_length_a 3.3414
_cell_length_b 3.3414
_cell_length_c 3.3414
_cell_angle_alpha 90.00
_cell_angle_beta 90.00
_cell_angle_gamma 90.00
_space_group_name_H-M_alt 'P m -3 m'
_space_group_IT_number 221
_space_group_name_Hall '-P 4 2 3'
loop_
_atom_site_label
_atom_site_fract_x
_atom_site_fract_y
_atom_site_fract_z
Tc1 0.0000 0.0000 0.0000
C1 0.5000 0.5000 0.5000
N1 0.0000 0.5000 0.5000



# 8
# TcCN2, relaxed, DFT GGA-PBE
# ΔE_f (raw) = 0.817 eV/atom
# Total magnetization = 0.00 μB/atom
# Final energy = -8.243 eV/atom
data_TcCN2
_cell_length_a 4.3476
_cell_length_b 4.3476
_cell_length_c 6.9909
_cell_angle_alpha 90.00
_cell_angle_beta 90.00
_cell_angle_gamma 90.00
_space_group_name_H-M_alt 'I -4 2 d'
_space_group_IT_number 122
_space_group_name_Hall 'I -4 2bw'
loop_
_atom_site_label
_atom_site_fract_x
_atom_site_fract_y
_atom_site_fract_z
Tc1 0.0000 0.0000 0.0000
C1 0.0000 0.0000 0.5000
N1 0.1426 0.2500 0.6250



- Look up the total magnetization of the fourth one.
  0.00 μB/atom



- The highest final energy belongs to which entry?
  Tb8Te4C3N